Material: Ni2Ir
Method: DFT, PBEsol
State: optimized geometry

a = 5.455 Å, b = 5.455 Å, c = 5.455 Å
α = 152.24°, β = 152.24°, γ = 39.67°
Atoms (fractional coordinates):
Ni 0.170 0.170 0.000
Ni 0.830 0.830 0.000
Ir 0.500 0.500 0.000

Results
* theoretical density: 14.6 g/cm³
* magnetic moment: 0.00 Bohr magnetons per cell
* crystal system: tetragonal
* space-group type: No. 139
* final energy: -21.96 eV/cell